No. 1
GGA-PBE Na3CaAc2O6, optimized geometry; final energy = -5.97 eV per atom; raw formation energy = -2.31 eV/atom; space-group type = No. 12
1.0
3.165 -5.553 0.000
3.165 5.553 0.000
-2.004 0.000 5.680
Na Ca Ac O
3 1 2 6
direct
0.000 0.000 0.000 Na
0.351 0.649 0.000 Na
0.649 0.351 0.000 Na
0.500 0.500 0.500 Ca
0.167 0.833 0.500 Ac
0.833 0.167 0.500 Ac
0.102 0.426 0.277 O
0.246 0.246 0.724 O
0.426 0.102 0.277 O
0.574 0.898 0.723 O
0.754 0.754 0.276 O
0.898 0.574 0.723 O

No. 2
GGA-PBE NaCa2AcO4, optimized geometry; final energy = -6.36 eV per atom; raw formation energy = -2.71 eV/atom; space-group type = No. 139
1.0
4.974 0.000 0.000
0.000 4.974 0.000
0.000 0.000 10.212
Na Ca Ac O
2 4 2 8
direct
0.000 0.000 0.000 Na
0.500 0.500 0.500 Na
0.000 0.500 0.250 Ca
0.000 0.500 0.750 Ca
0.500 0.000 0.250 Ca
0.500 0.000 0.750 Ca
0.000 0.000 0.500 Ac
0.500 0.500 0.000 Ac
0.000 0.000 0.255 O
0.000 0.000 0.745 O
0.000 0.500 0.000 O
0.000 0.500 0.500 O
0.500 0.000 0.000 O
0.500 0.000 0.500 O
0.500 0.500 0.245 O
0.500 0.500 0.755 O

No. 3
GGA-PBE NaCaAcPd, optimized geometry; formation energy = -0.7 eV/f.u.; final energy = -3.34 eV per atom; space-group type = No. 216
1.0
7.761 0.000 0.000
0.000 7.761 0.000
0.000 0.000 7.761
Na Ca Ac Pd
4 4 4 4
direct
0.000 0.000 0.000 Na
0.000 0.500 0.500 Na
0.500 0.000 0.500 Na
0.500 0.500 0.000 Na
0.250 0.250 0.250 Ca
0.250 0.750 0.750 Ca
0.750 0.250 0.750 Ca
0.750 0.750 0.250 Ca
0.250 0.250 0.750 Ac
0.250 0.750 0.250 Ac
0.750 0.250 0.250 Ac
0.750 0.750 0.750 Ac
0.000 0.000 0.500 Pd
0.000 0.500 0.000 Pd
0.500 0.000 0.000 Pd
0.500 0.500 0.500 Pd

No. 4
GGA-PBE NaCaAcPr, optimized geometry; formation energy = 1.0 eV/f.u.; final energy = -2.81 eV per atom; space-group type = No. 216
1.0
8.598 0.000 0.000
0.000 8.598 0.000
0.000 0.000 8.598
Na Ca Ac Pr
4 4 4 4
direct
0.000 0.000 0.000 Na
0.000 0.500 0.500 Na
0.500 0.000 0.500 Na
0.500 0.500 0.000 Na
0.250 0.250 0.750 Ca
0.250 0.750 0.250 Ca
0.750 0.250 0.250 Ca
0.750 0.750 0.750 Ca
0.000 0.000 0.500 Ac
0.000 0.500 0.000 Ac
0.500 0.000 0.000 Ac
0.500 0.500 0.500 Ac
0.250 0.250 0.250 Pr
0.250 0.750 0.750 Pr
0.750 0.250 0.750 Pr
0.750 0.750 0.250 Pr

No. 5
GGA-PBE NaCaAcRh, optimized geometry; formation energy = -0.4 eV/f.u.; final energy = -3.80 eV per atom; space-group type = No. 216
1.0
7.577 0.000 0.000
0.000 7.577 0.000
0.000 0.000 7.577
Na Ca Ac Rh
4 4 4 4
direct
0.000 0.000 0.000 Na
0.000 0.500 0.500 Na
0.500 0.000 0.500 Na
0.500 0.500 0.000 Na
0.250 0.250 0.250 Ca
0.250 0.750 0.750 Ca
0.750 0.250 0.750 Ca
0.750 0.750 0.250 Ca
0.250 0.250 0.750 Ac
0.250 0.750 0.250 Ac
0.750 0.250 0.250 Ac
0.750 0.750 0.750 Ac
0.000 0.000 0.500 Rh
0.000 0.500 0.000 Rh
0.500 0.000 0.000 Rh
0.500 0.500 0.500 Rh

No. 6
GGA-PBE NaCaAc2S4, optimized geometry; final energy = -5.41 eV per atom; raw formation energy = -1.91 eV/atom; space-group type = No. 10
1.0
7.204 0.000 0.000
0.000 4.250 0.000
-2.491 0.000 6.919
Na Ca Ac S
1 1 2 4
direct
0.000 0.000 0.000 Na
0.000 0.500 0.500 Ca
0.500 0.000 0.500 Ac
0.500 0.500 0.000 Ac
0.238 0.000 0.742 S
0.244 0.500 0.253 S
0.756 0.500 0.747 S
0.762 0.000 0.258 S